DFT (PBE-GGA) results for Tb2PmCd6 after structural relaxation.

The energy comes out at -2.49 eV per atom. The calculation puts the formation energy at -0.3279 eV/atom. The energy above the lowest structure with this stoichiometry comes out at 0.000 eV per atom. Its crystal system is hexagonal.

The structure belongs to space group P6/mmm (No. 191); the cell edges are 8.6916, 8.6916 and 3.4306 Å and the angles 90.00°, 90.00° and 120.00°. The asymmetric unit holds Tb at (0.3333, 0.6667, 0.0000), Pm at (0.0000, 0.0000, 0.0000) and Cd at (0.0000, 0.3351, 0.5000).


DFT (PBE-GGA) results for Pm6Te3As2Br after structural relaxation.

The energy comes out at -5.52 eV per atom. Its crystal system is monoclinic.

The structure belongs to space group C2/m (No. 12); the cell edges are 19.076, 4.325 and 8.813 Å and the angles 90.00°, 103.45° and 90.00°. The asymmetric unit holds Pm at (0.014, 0.000, 0.261), Pm at (0.173, 0.500, 0.116), Pm at (0.174, 0.500, 0.568), Te at (0.000, 0.500, 0.500), Te at (0.160, 0.000, 0.836), As at (0.169, 0.000, 0.336) and Br at (0.000, 0.500, 0.000).


DFT (PBE-GGA) results for PmUB after structural relaxation.

The energy comes out at -7.02 eV per atom. The calculation puts the formation energy at 0.5490 eV/atom. Its crystal system is orthorhombic.

The structure belongs to space group Immm (No. 71); the cell edges are 3.276, 4.920 and 15.452 Å and the angles 90.00°, 90.00° and 90.00°. The asymmetric unit holds Pm at (0.000, 0.000, 0.179), U at (0.000, 0.251, 0.500) and B at (0.000, 0.000, 0.359).


DFT (PBE-GGA) results for TlCrAgCl6 after structural relaxation.

The energy comes out at -3.71 eV per atom. Its crystal system is triclinic.

The structure belongs to space group P1 (No. 1); the cell edges are 6.546, 6.551 and 6.807 Å and the angles 91.34°, 91.43° and 117.07°. The asymmetric unit holds Tl at (0.000, 0.000, 0.000), Cr at (0.667, 0.334, 0.499), Ag at (0.330, 0.672, 0.499), Cl at (0.384, 0.045, 0.676), Cl at (0.384, 0.369, 0.293), Cl at (0.633, 0.616, 0.707), Cl at (0.657, 0.054, 0.282), Cl at (0.947, 0.342, 0.715) and Cl at (0.955, 0.617, 0.323).


DFT (PBE-GGA) results for NaPb2Au2 after structural relaxation.

The energy comes out at -3.23 eV per atom. The calculation puts the formation energy at -0.1693 eV/atom. The energy above the lowest structure with this stoichiometry comes out at 0.005 eV per atom. Its crystal system is monoclinic.

The structure belongs to space group P2_1/m (No. 11); the cell edges are 5.515, 4.766 and 10.631 Å and the angles 90.00°, 100.99° and 90.00°. The asymmetric unit holds Na at (0.094, 0.250, 0.275), Pb at (0.246, 0.250, 0.970), Pb at (0.400, 0.250, 0.616), Au at (0.151, 0.750, 0.495) and Au at (0.286, 0.750, 0.132).


DFT (PBE-GGA) results for Mg2CuSe2 after structural relaxation.

The energy comes out at -3.42 eV per atom. The energy above the lowest structure with this stoichiometry comes out at 0.132 eV per atom. Its crystal system is orthorhombic.

The structure belongs to space group Cmc2_1 (No. 36); the cell edges are 3.822, 15.486 and 7.705 Å and the angles 90.00°, 90.00° and 90.00°. The asymmetric unit holds Mg at (0.000, 0.111, 0.000), Mg at (0.000, 0.324, 0.158), Cu at (0.000, 0.046, 0.681), Se at (0.000, 0.267, 0.491) and Se at (0.000, 0.483, 0.995).


DFT (PBE-GGA) results for LiTl2TeSe4 after structural relaxation.

The energy comes out at -3.33 eV per atom. Its crystal system is orthorhombic.

The structure belongs to space group Imma (No. 74); the cell edges are 8.352, 8.477 and 11.906 Å and the angles 90.00°, 90.00° and 90.00°. The asymmetric unit holds Li at (0.000, 0.000, 0.000), Tl at (0.000, 0.000, 0.500), Tl at (0.250, 0.250, 0.250), Te at (0.250, 0.250, 0.750), Se at (0.000, 0.020, 0.764) and Se at (0.231, 0.250, 0.987).


DFT (PBE-GGA) results for Ac2CuTe2Se2 after structural relaxation.

The energy comes out at -4.82 eV per atom. Its crystal system is trigonal.

The structure belongs to space group P-3m1 (No. 164); the cell edges are 5.1131, 5.1131 and 12.5276 Å and the angles 90.00°, 90.00° and 120.00°. The asymmetric unit holds Ac at (0.3333, 0.6667, 0.1600), Cu at (0.0000, 0.0000, 0.5000), Te at (0.0000, 0.0000, 0.3072) and Se at (0.3333, 0.6667, 0.9099).


DFT (PBE-GGA) results for Th6GaP2Se3 after structural relaxation.

The energy comes out at -7.12 eV per atom. Its crystal system is monoclinic.

The structure belongs to space group C2/m (No. 12); the cell edges are 18.401, 4.231 and 8.398 Å and the angles 90.00°, 103.70° and 90.00°. The asymmetric unit holds Th at (0.007, 0.000, 0.248), Th at (0.166, 0.500, 0.098), Th at (0.171, 0.500, 0.572), Ga at (0.000, 0.500, 0.000), P at (0.168, 0.000, 0.335), Se at (0.000, 0.500, 0.500) and Se at (0.164, 0.000, 0.833).


DFT (PBE-GGA) results for TmLu2Zr after structural relaxation.

The energy comes out at -5.45 eV per atom. The calculation puts the formation energy at 0.0659 eV/atom. The energy above the lowest structure with this stoichiometry comes out at 0.000 eV per atom. Its crystal system is trigonal.

The structure belongs to space group R-3m (No. 166, hexagonal axes); the cell edges are 3.3866, 3.3866 and 33.3550 Å and the angles 90.00°, 90.00° and 120.00°. The asymmetric unit holds Tm at (0.0000, 0.0000, 0.0000), Lu at (0.0000, 0.0000, 0.2455) and Zr at (0.0000, 0.0000, 0.5000).


DFT (PBE-GGA) results for Pa3In5Se12 after structural relaxation.

The energy comes out at -4.96 eV per atom. Its crystal system is cubic.

The structure belongs to space group Ia-3d (No. 230); the cell edges are 16.604, 16.604 and 16.604 Å and the angles 90.00°, 90.00° and 90.00°. The asymmetric unit holds Pa at (0.000, 0.250, 0.125), In at (0.000, 0.000, 0.000), In at (0.000, 0.250, 0.375) and Se at (0.018, 0.069, 0.655).


DFT (PBE-GGA) results for HfZrNbTc after structural relaxation.

The energy comes out at -9.94 eV per atom. The calculation puts the formation energy at -0.2035 eV/atom. Its crystal system is tetragonal.

The structure belongs to space group P4mm (No. 99); the cell edges are 3.239, 3.239 and 7.311 Å and the angles 90.00°, 90.00° and 90.00°. The asymmetric unit holds Hf at (0.000, 0.000, 0.000), Zr at (0.500, 0.500, 0.293), Nb at (0.000, 0.000, 0.567) and Tc at (0.500, 0.500, 0.770).


Let's list magnetization in order: 0.14; 0.00; 1.60; 1.96; 0.00; 0.00; 0.00; 0.00; 0.00; 0.00; 31.25; 0.00 μB per cell.